# 1
An optimized crystal structure of RbP6S12. Source: the Alexandria database, functional PBE.

It has space group R-3m (No. 166, hexagonal axes), with a = 12.1805 Å, b = 12.1805 Å, c = 13.0468 Å, α = 90.00°, β = 90.00° and γ = 120.00°. Symmetry generates all atoms from Rb at (0.0000, 0.0000, 0.0000), P at (0.1108, 0.2215, 0.7515), S at (0.0000, 0.3777, 0.5000) and S at (0.0909, 0.1818, 0.2834).

The uncorrected formation energy comes out at 0.1530 eV per atom. The calculation puts the density of states at the Fermi level at 0.30 states/eV/atom. For the calculated volume, the calculation gives 29.41 Å³ per atom.

# 2
An optimized crystal structure of RbPS6. Source: the Alexandria database, functional PBE.

It has space group C2/m (No. 12), with a = 9.206 Å, b = 10.647 Å, c = 4.315 Å, α = 90.00°, β = 97.58° and γ = 90.00°. Symmetry generates all atoms from Rb at (0.000, 0.000, 0.000), P at (0.000, 0.500, 0.500), S at (0.079, 0.345, 0.858) and S at (0.228, 0.500, 0.414).

The uncorrected formation energy comes out at -0.0460 eV per atom. The calculation puts the density of states at the Fermi level at 0.66 states/eV/atom. For the calculated volume, the calculation gives 26.20 Å³ per atom.

Question: calculated volume of number 2 (RbPS6)?
Answer: 26.20 Å³ per atom

Question: Among the records above, which one has the highest uncorrected formation energy?
Answer: RbP6S12

Question: Among the records above, which one has the lowest calculated volume?
Answer: RbPS6